Compound: PmInBr2
Source: the Alexandria database
Functional: PBE
Structure: relaxed

Unit cell a=4.0382 b=4.0382 c=10.5596 alpha=78.98 beta=78.98 gamma=60.00
Positions (direct):
Br (0.0914, 0.0914, 0.7258)
In (0.5000, 0.5000, 0.5000)
Br (0.9086, 0.9086, 0.2742)
Pm (0.0000, 0.0000, 0.0000)

Properties
The energy relative to the elements, uncorrected is -2.87 eV per formula unit. The symmetry is R-3m, No. 166. The total energy comes out at -3.426 eV per atom. The total magnetization is 0.000 μB/atom.